Density functional theory data (PBE) for a geometry-optimized Pm5Se5N structure.

Computed properties:
Total magnetic moment in Bohr magnetons per cell: 0.000
Calculated total energy in Ry/atom: -0.458
Raw formation energy in meV/atom: -1734

a b c (Å): 12.9613 5.8202 8.1030
angles (deg): 90.00 108.94 90.00
With the nearest neighbours (Å) after each atom.
Space group C2/m (No. 12)
Inequivalent atoms, fractional coordinates:
Pm  0.0000  0.0000  0.0000 (multiplicity 2)  4 Se 2.91, 2 N 2.91
Pm  0.1480  0.5000  0.8479 (multiplicity 4)  1 N 2.60, 1 Se 2.85
Pm  0.1503  0.5000  0.3049 (multiplicity 4)  1 N 2.60, 1 Se 2.88
Se  0.0000  0.5000  0.5000 (multiplicity 2)  4 Pm 2.85-2.88
Se  0.1637  0.0000  0.8253 (multiplicity 4)  5 Pm 2.91-2.96
Se  0.1751  0.0000  0.3338 (multiplicity 4)  5 Pm 2.91-3.10
N  0.0000  0.5000  0.0000 (multiplicity 2)  4 Pm 2.60